No. 1
# KMnRe2 (PBE-GGA, relaxed)
# * E above lowest polymorph: 0.825 eV per atom
# * DFT formation energy: 6.357 eV/f.u.
# * M_tot: 1.045 μB/atom
# * final energy: -7.2016 eV/atom
data_KMnRe2
_symmetry_space_group_name_H-M 'P 4/m m m'
_symmetry_Int_Tables_number 123
_symmetry_space_group_name_Hall '-P 4 2'
_cell_length_a 3.7684
_cell_length_b 3.7684
_cell_length_c 5.0523
_cell_angle_alpha 90.00
_cell_angle_beta 90.00
_cell_angle_gamma 90.00
loop_
_atom_site_label
_atom_site_type_symbol
_atom_site_fract_x
_atom_site_fract_y
_atom_site_fract_z
_atom_site_occupancy
K1 K 0.0000 0.0000 0.0000 1
Mn1 Mn 0.5000 0.5000 0.0000 1
Re1 Re 0.0000 0.5000 0.5000 1

---

No. 2
# HgBiCl6 (PBE-GGA, relaxed)
# * M_tot: 0.000 μB/atom
# * formation energy without anion corrections: -0.5876 eV/atom
# * final energy: -2.4954 eV/atom
data_HgBiCl6
_symmetry_space_group_name_H-M 'R -3'
_symmetry_Int_Tables_number 148
_symmetry_space_group_name_Hall '-R 3'
_cell_length_a 6.6863
_cell_length_b 6.6863
_cell_length_c 18.2949
_cell_angle_alpha 90.00
_cell_angle_beta 90.00
_cell_angle_gamma 120.00
loop_
_atom_site_label
_atom_site_type_symbol
_atom_site_fract_x
_atom_site_fract_y
_atom_site_fract_z
_atom_site_occupancy
Hg1 Hg 0.0000 0.0000 0.0000 1
Bi1 Bi 0.0000 0.0000 0.5000 1
Cl1 Cl 0.0038 0.6578 0.2502 1

---

No. 3
# TbPuSi2 (PBE-GGA, relaxed)
# * E above lowest polymorph: 0.000 eV per atom
# * M_tot: 1.531 μB/atom
# * formation energy without anion corrections: -0.6018 eV/atom
# * final energy: -8.0539 eV/atom
data_TbPuSi2
_symmetry_space_group_name_H-M 'A m m 2'
_symmetry_Int_Tables_number 38
_symmetry_space_group_name_Hall 'A 2 -2'
_cell_length_a 3.8120
_cell_length_b 4.2975
_cell_length_c 10.7350
_cell_angle_alpha 90.00
_cell_angle_beta 90.00
_cell_angle_gamma 90.00
loop_
_atom_site_label
_atom_site_type_symbol
_atom_site_fract_x
_atom_site_fract_y
_atom_site_fract_z
_atom_site_occupancy
Tb1 Tb 0.0000 0.0000 0.0000 1
Pu1 Pu 0.5000 0.0000 0.7121 1
Si1 Si 0.0000 0.0000 0.2846 1
Si2 Si 0.5000 0.0000 0.4283 1